KFe2Pt: optimized geometry, GGA-PBE.

The formation energy from the elements is 0.5803 eV/atom. For the calculated volume, the calculation gives 18.5 Å³ per atom. The value obtained for the total energy is -5.44 eV per atom.

a b c (Å): 2.7930 2.7930 9.4834
angles (deg): 90.00 90.00 90.00
With the nearest neighbours (Å) after each atom.
Element x y z (fractional)
K  0.0000  0.0000  0.0000  4 K 2.79
Fe  0.5000  0.5000  0.3106  4 Pt 2.67, 4 Fe 2.79
Fe  0.5000  0.5000  0.6894  4 Pt 2.67, 4 Fe 2.79
Pt  0.0000  0.0000  0.5000  8 Fe 2.67, 4 Pt 2.79